Density functional theory data (GGA-PBE) for crystalline LiMgNbPd at its relaxed geometry.

Geometry as POSCAR:
```
LiMgNbPd
1.0
-1.836 -3.952 1.103
-2.444 -0.373 3.754
-4.452 -0.561 -0.263
Pd Nb Li Mg
1 1 1 1
direct
0.000 0.000 0.000 Pd
0.500 0.500 0.500 Nb
0.750 0.750 0.750 Li
0.250 0.250 0.250 Mg
```

## Properties
Energy above the lowest structure with this stoichiometry (meV per atom): 363
Symmetry: No. 216

Density functional theory data (GGA-PBE) for crystalline Cs2CoCl5 at its relaxed geometry.

Geometry as POSCAR:
```
Cs2CoCl5
1.0
-4.763 1.222 5.267
-2.257 -6.828 -0.456
3.354 -1.332 3.342
Cl Cs Co
5 2 1
direct
0.778 0.222 0.000 Cl
0.778 0.778 0.000 Cl
0.000 0.000 0.500 Cl
0.222 0.222 0.000 Cl
0.222 0.778 0.000 Cl
0.500 0.000 0.500 Cs
0.000 0.500 0.500 Cs
0.000 0.000 0.000 Co
```

## Properties
VASP energy (eV per atom): -3.522
Symmetry: No. 123

Density functional theory data (GGA-PBE) for crystalline MgCuTeIr at its relaxed geometry.

Geometry as POSCAR:
```
MgCuTeIr
1.0
0.000 3.238 3.238
3.238 0.000 3.238
3.238 3.238 0.000
Ir Mg Cu Te
1 1 1 1
direct
0.000 0.000 0.000 Ir
0.750 0.750 0.750 Mg
0.500 0.500 0.500 Cu
0.250 0.250 0.250 Te
```

## Properties
Energy above the lowest structure with this stoichiometry (meV per atom): 0
Symmetry: No. 216

Density functional theory data (GGA-PBE) for crystalline Rb2CuPdF6 at its relaxed geometry.

Geometry as POSCAR:
```
Rb2CuPdF6
1.0
-4.304 -3.826 -1.047
-3.247 2.401 4.238
2.128 3.313 -4.330
Pd Rb F Cu
1 2 6 1
direct
0.000 0.000 0.000 Pd
0.750 0.250 0.500 Rb
0.250 0.750 0.500 Rb
0.741 0.741 0.000 F
0.743 0.257 0.000 F
0.743 0.743 0.487 F
0.259 0.259 0.000 F
0.257 0.743 0.000 F
0.257 0.257 0.513 F
0.500 0.500 0.000 Cu
```

## Properties
VASP energy (eV per atom): -4.155
Symmetry: No. 139

Density functional theory data (GGA-PBE) for crystalline Ta2Nb4Cd3C3 at its relaxed geometry.

Geometry as POSCAR:
```
Ta2Nb4Cd3C3
1.0
4.753 -2.745 0.000
4.753 2.745 0.000
-3.173 0.000 14.660
C Nb Cd Ta
6 8 6 4
direct
0.664 0.171 0.500 C
0.171 0.664 0.000 C
0.500 0.000 0.000 C
0.829 0.336 0.000 C
0.336 0.829 0.500 C
0.000 0.500 0.500 C
0.306 0.137 0.418 Nb
0.030 0.192 0.582 Nb
0.137 0.306 0.918 Nb
0.970 0.808 0.418 Nb
0.808 0.970 0.918 Nb
0.863 0.694 0.082 Nb
0.694 0.863 0.582 Nb
0.192 0.030 0.082 Nb
0.583 0.747 0.250 Cd
0.088 0.912 0.750 Cd
0.253 0.417 0.250 Cd
0.747 0.583 0.750 Cd
0.417 0.253 0.750 Cd
0.912 0.088 0.250 Cd
0.473 0.642 0.920 Ta
0.642 0.473 0.420 Ta
0.358 0.527 0.580 Ta
0.527 0.358 0.080 Ta
```

## Properties
VASP energy (eV per atom): -8.201
Symmetry: No. 15

Density functional theory data (GGA-PBE) for crystalline Tb2NdIn3Cu3 at its relaxed geometry.

Geometry as POSCAR:
```
Tb2NdIn3Cu3
1.0
-3.888 -0.549 0.138
0.013 1.764 7.381
-0.953 5.441 -5.203
Nd In Cu Tb
1 3 3 2
direct
0.000 0.412 0.412 Nd
0.500 0.996 0.253 In
0.500 0.253 0.996 In
0.500 0.749 0.749 In
0.000 0.999 0.999 Cu
0.500 0.670 0.331 Cu
0.500 0.331 0.670 Cu
0.000 0.590 0.000 Tb
0.000 0.000 0.590 Tb
```

## Properties
VASP energy (eV per atom): -4.115
Symmetry: No. 38

Density functional theory data (GGA-PBE) for crystalline TePd3 at its relaxed geometry.

Geometry as POSCAR:
```
TePd3
1.0
-4.843 0.550 -1.254
-2.599 -1.025 4.187
0.244 5.640 1.533
Pd Te
6 2
direct
0.000 0.000 0.500 Pd
0.112 0.493 0.250 Pd
0.000 0.000 0.000 Pd
0.507 0.888 0.250 Pd
0.493 0.112 0.750 Pd
0.888 0.507 0.750 Pd
0.652 0.348 0.250 Te
0.348 0.652 0.750 Te
```

## Properties
VASP energy (eV per atom): -4.848
Symmetry: No. 63

Density functional theory data (GGA-PBE) for crystalline NbReNi2 at its relaxed geometry.

Geometry as POSCAR:
```
NbReNi2
1.0
0.000 3.029 3.029
3.029 0.000 3.029
3.029 3.029 0.000
Nb Ni Re
1 2 1
direct
0.000 0.000 0.000 Nb
0.250 0.250 0.250 Ni
0.500 0.500 0.500 Ni
0.750 0.750 0.750 Re
```

## Properties
Calculated formation energy (eV/atom): 0.138
Symmetry: No. 216

Density functional theory data (GGA-PBE) for crystalline TmTlTe3As at its relaxed geometry.

Geometry as POSCAR:
```
TmTlTe3As
1.0
2.155 -7.618 0.000
2.155 7.618 0.000
0.000 0.000 11.681
Tl Te As Tm
2 6 2 2
direct
0.237 0.763 0.750 Tl
0.763 0.237 0.250 Tl
0.360 0.640 0.465 Te
0.360 0.640 0.035 Te
0.078 0.922 0.250 Te
0.640 0.360 0.535 Te
0.922 0.078 0.750 Te
0.640 0.360 0.965 Te
0.556 0.444 0.750 As
0.444 0.556 0.250 As
0.000 0.000 0.000 Tm
0.000 0.000 0.500 Tm
```

## Properties
VASP energy (eV per atom): -3.973
Symmetry: No. 63

Density functional theory data (GGA-PBE) for crystalline YLuZnCu at its relaxed geometry.

Geometry as POSCAR:
```
YLuZnCu
1.0
-0.334 -2.804 3.948
1.324 1.742 4.333
-3.366 0.943 3.369
Y Lu Zn Cu
1 1 1 1
direct
0.250 0.250 0.250 Y
0.500 0.500 0.500 Lu
0.000 0.000 0.000 Zn
0.750 0.750 0.750 Cu
```

## Properties
Calculated formation energy (eV/atom): 0.102
Energy above the lowest structure with this stoichiometry (meV per atom): 0
Symmetry: No. 216

Density functional theory data (GGA-PBE) for crystalline LaTb2Mg3Ir2Pd at its relaxed geometry.

Geometry as POSCAR:
```
LaTb2Mg3Ir2Pd
1.0
-1.974 0.052 -3.549
-2.161 -7.032 1.099
-4.242 5.600 2.443
Mg Tb Ir Pd La
3 2 2 1 1
direct
0.500 0.004 0.754 Mg
0.500 0.754 0.004 Mg
0.500 0.242 0.242 Mg
0.000 0.415 0.999 Tb
0.000 0.999 0.415 Tb
0.500 0.670 0.331 Ir
0.500 0.331 0.670 Ir
0.000 0.006 0.006 Pd
0.000 0.578 0.578 La
```

## Properties
VASP energy (eV per atom): -5.316
Symmetry: No. 38

Density functional theory data (GGA-PBE) for crystalline OsO3 at its relaxed geometry.

Geometry as POSCAR:
```
OsO3
1.0
-2.587 -4.431 0.028
-2.587 4.431 0.028
3.600 0.000 -8.932
O Os
12 4
direct
0.535 0.869 0.114 O
0.578 0.955 0.609 O
0.749 0.699 0.883 O
0.045 0.422 0.391 O
0.949 0.583 0.608 O
0.790 0.795 0.362 O
0.417 0.051 0.392 O
0.369 0.082 0.885 O
0.205 0.210 0.638 O
0.131 0.465 0.886 O
0.301 0.251 0.117 O
0.918 0.631 0.115 O
0.501 0.499 0.000 Os
0.166 0.834 0.000 Os
0.841 0.159 0.500 Os
0.154 0.846 0.500 Os
```

## Properties
VASP energy (eV per atom): -7.267
Symmetry: No. 5